Entry from Alexandria via LeMat-Bulk: an optimized crystal structure of TlNiHg2 (PBE-GGA).

Output
**Space-group type**: No. 65
**ΔH_f (0 K)**: 1.5 eV/f.u.
**V**: 86.20 Å³ per cell

Cell lengths 4.288, 4.288, 4.726 Å; angles 90.00, 90.00, 97.27 degrees
Sites, in units of the cell vectors:
1 Hg 0.500 0.000 0.000
2 Hg 0.000 0.500 0.000
3 Tl 0.500 0.500 0.500
4 Ni 0.000 0.000 0.500